No. 1
First-principles (GGA-PBE) data for a relaxed structure of Li4ZnGePt2, as listed in OQMD via LeMat-Bulk.

Unit cell a=4.2940 b=4.2940 c=5.9852 alpha=90.00 beta=90.00 gamma=90.00
Space group P-4m2 (No. 115)
Inequivalent atoms, fractional coordinates:
Li (0.0000, 0.0000, 0.0000)
Li (0.0000, 0.5000, 0.7456)
Li (0.5000, 0.5000, 0.5000)
Zn (0.0000, 0.0000, 0.5000)
Ge (0.5000, 0.5000, 0.0000)
Pt (0.0000, 0.5000, 0.2358)

No. 2
First-principles (GGA-PBE) data for a relaxed structure of TbHoPO, as listed in OQMD via LeMat-Bulk.

**Energy above the lowest structure with this stoichiometry**: 11 meV per atom

Unit cell a=4.1395 b=7.5912 c=5.5348 alpha=90.00 beta=90.00 gamma=90.00
Space group Pmc2_1 (No. 26)
Inequivalent atoms, fractional coordinates:
Tb (0.0000, 0.1277, 0.0000)
Ho (0.5000, 0.2943, 0.4594)
P (0.5000, 0.3471, 0.9574)
O (0.0000, 0.1716, 0.4187)

No. 3
First-principles (GGA-PBE) data for a relaxed structure of HfNiB, as listed in OQMD via LeMat-Bulk.

Unit cell a=5.5216 b=6.4837 c=8.7748 alpha=90.00 beta=90.00 gamma=90.00
Space group Fmmm (No. 69)
Inequivalent atoms, fractional coordinates:
Hf (0.2499, 0.0000, 0.0000)
Ni (0.2500, 0.2500, 0.2500)
B (0.0000, 0.0000, 0.2475)

No. 4
First-principles (GGA-PBE) data for a relaxed structure of La4TcPb, as listed in OQMD via LeMat-Bulk.

Unit cell a=9.0417 b=13.9115 c=6.4719 alpha=90.00 beta=109.26 gamma=90.00
Space group C2/c (No. 15)
Inequivalent atoms, fractional coordinates:
La (0.1093, 0.1667, 0.0527)
La (0.2194, 0.4243, 0.3803)
Tc (0.0000, 0.0016, 0.7500)
Pb (0.0000, 0.3758, 0.7500)

VASP energy (computed, eV per cell): -30.4 -55.2 -176.3 -141.8